VASP calculation (GGA-PBE) on crystalline Sc4GaRh3 at its relaxed geometry.

N(E_F) in states/eV/cell: 3.85
Final energy in Ry per atom: -0.5306
Energy of formation from the pure elements in eV/atom: -0.918

```
Sc4GaRh3
1.0
3.263 0.000 0.000
0.000 3.263 0.000
0.000 0.000 13.053
Sc Ga Rh
4 1 3
Cartesian
0.000 0.000 1.602
0.000 0.000 4.772
0.000 0.000 8.281
0.000 0.000 11.452
1.632 1.632 6.527
1.632 1.632 0.000
1.632 1.632 3.225
1.632 1.632 9.829
```